Entry 1:
Computed, not measured: a crystal of Sc3InP relaxed with PBEsol at the SCAN level of DFT.

```
Sc3InP
1.0
-2.8745 -1.2683 3.6696
-1.2634 -4.0118 -2.3763
3.6713 -2.3737 2.0554
Sc P In
3 1 1
Direct
0.0000 0.5000 0.0000
0.5000 0.0000 0.0000
0.0000 0.0000 0.5000
0.0000 0.0000 0.0000
0.5000 0.5000 0.5000
```

Symmetry: Pm-3m
Energy of formation from the pure elements, kJ per mole of atoms: -84

=====

Entry 2:
Computed, not measured: a crystal of LiPtS2N relaxed with PBEsol at the SCAN level of DFT.

```
LiPtS2N
1.0
-2.0411 -0.7035 -2.9011
4.0422 0.1331 -2.8763
0.6664 -4.8662 0.7113
Pt S N Li
1 2 1 1
Direct
0.0000 0.0000 0.0000
0.0000 0.5000 0.0000
0.0000 0.0000 0.5000
0.5000 0.0000 0.0000
0.5000 0.5000 0.5000
```

Symmetry: P4/mmm
Uncorrected formation energy, eV/atom: 0.27

=====

Entry 3:
Computed, not measured: a crystal of Te2MoOsI relaxed with PBEsol at the SCAN level of DFT.

```
Te2MoOsI
1.0
-0.4303 -4.0042 -3.1127
-1.9490 -2.7535 3.8115
-5.0226 1.6241 -1.3950
Mo Os I Te
1 1 1 2
Direct
0.5000 0.5000 0.5000
0.0000 0.0000 0.0000
0.0000 0.0000 0.5000
0.0000 0.5000 0.0000
0.5000 0.0000 0.0000
```

Symmetry: P4/mmm
Uncorrected formation energy, eV/atom: 1.28

=====

Entry 4:
Computed, not measured: a crystal of TlTe2Ir relaxed with PBEsol at the SCAN level of DFT.

```
TlTe2Ir
1.0
3.2611 0.0000 0.0000
0.0000 3.2599 0.0000
0.0000 0.0000 9.3017
Tl Ir Te
1 1 2
Direct
0.0000 0.0000 0.4595
0.5000 0.5000 0.2183
0.0000 0.0000 0.0778
0.5000 0.5000 0.7444
```

Symmetry: P4mm
Uncorrected formation energy, eV/atom: 0.19

=====

Spin magnetization, record by record: 0.00 0.00 0.66 0.00 μB/atom
Raw total energy, record by record: -90.87 -99.76 -211.60 -217.19 eV per cell